The following is a PBE calculation of crystalline LaYSi2 at its relaxed geometry, from Alexandria.

spin magnetization = 0.00 μB per cell
relative energy among the computed polymorphs = 0.02 eV/f.u.
total DFT energy (no corrections) = -6.32 eV per atom
ΔE_f (raw) = -0.763 eV per atom

Cell: 5.8979 5.8979 3.9179 Å, 90.02 90.02 44.34°
Fractional positions:
1 Y 0.5115 0.5115 0.6251
2 Si 0.9498 0.9498 0.1251
3 Si 0.8059 0.8059 0.6249
4 La 0.2328 0.2328 0.1249